Record 1
Below is a relaxed structure of La4HgOsI2, with properties calculated at the PBE-GGA level.

Calculated values
D(E_F): 5.598 states/eV per cell
ΔE_f (raw): -0.751 eV/atom
Theoretical density: 7.18 g cm⁻³
M_tot: 0.00 μB per cell

extended XYZ file:
```
8
Lattice="4.2882 0.0000 0.0000 0.0000 7.8209 0.2031 0.0000 -2.6847 8.2073" Properties=species:S:1:pos:R:3 pbc="T T T"
La 0.0000 0.0659 6.7121
La 2.1441 3.4893 6.7258
La 0.0000 5.0703 1.6983
La 2.1441 1.6469 1.6846
Os 2.1441 3.9105 0.1015
I 2.1441 -1.3424 4.1037
I 0.0000 2.5681 4.2052
Hg 0.0000 0.0000 0.0000
```



Record 2
Below is a relaxed structure of Zn2TeOs, with properties calculated at the PBE-GGA level.

Calculated values
D(E_F): 1.837 states/eV per cell
ΔE_f (raw): 0.563 eV/atom
Theoretical density: 10.83 g cm⁻³
M_tot: 0.00 μB per cell

extended XYZ file:
```
4
Lattice="3.3676 0.0000 0.0000 0.0000 4.6414 0.0000 0.0000 0.0000 4.4020" Properties=species:S:1:pos:R:3 pbc="T T T"
Te 0.0000 2.3207 2.2010
Zn 1.6838 2.3207 0.0000
Zn 0.0000 0.0000 0.0000
Os 1.6838 0.0000 2.2010
```



Question: Which value of M_tot does entry 1 give?
Answer: 0.00 μB per cell